The following is a PBE calculation of an optimized crystal structure of UTeBr2O6, from Alexandria.

Cell lengths 6.6449, 6.6449, 5.7651 Å; angles 93.28, 93.28, 50.08 degrees
With the nearest neighbours (Å) after each atom.
Fractional coordinates of all 10 atoms:
U 0.0000 0.0000 0.0000  4 O 1.97
Te 0.5000 0.5000 0.5000  6 O 1.84-2.06
Br 0.2467 0.2467 0.9975  2 Br 2.81, 1 O 2.96, 1 U 2.97
Br 0.7533 0.7533 0.0025  2 Br 2.81, 1 O 2.96, 1 U 2.97
O 0.2447 0.7521 0.7567  1 U 1.97, 1 Te 2.06
O 0.2479 0.7553 0.2433  1 U 1.97, 1 Te 2.06
O 0.3470 0.3470 0.4798  1 Te 1.84
O 0.6530 0.6530 0.5202  1 Te 1.84
O 0.7521 0.2447 0.7567  1 U 1.97, 1 Te 2.06
O 0.7553 0.2479 0.2433  1 U 1.97, 1 Te 2.06

Computed properties:
- Total DFT energy (no corrections): -6.020 eV per atom
- Raw formation energy: -1268 meV/atom
- Fermi-level density of states: 0.51 states/eV/atom